# 1
# CaSn3H

A geometry-optimized CaSn3H structure (PBE, Alexandria via LeMat-Bulk).

```
5
Lattice="4.806 0.000 0.000 0.000 4.806 0.000 0.000 0.000 4.806" Properties=species:S:1:pos:R:3 pbc="T T T"
Ca 0.000 0.000 0.000
Sn 0.000 2.403 2.403
Sn 2.403 0.000 2.403
Sn 2.403 2.403 0.000
H 2.403 2.403 2.403
```

Crystal system = cubic
Distance to the lowest polymorph of the same formula = 0 kJ/mol of formula units



# 2
# Sr2CaSnH

A geometry-optimized Sr2CaSnH structure (PBE, Alexandria via LeMat-Bulk).

```
5
Lattice="5.196 0.000 0.000 0.000 5.196 0.000 0.000 0.000 5.157" Properties=species:S:1:pos:R:3 pbc="T T T"
Sr 0.000 2.598 0.000
Sr 2.598 0.000 0.000
Ca 0.000 0.000 2.578
Sn 2.598 2.598 2.578
H 0.000 0.000 0.000
```

Crystal system = tetragonal
Total energy = -0.1099 hartree per atom



# 3
# Sr2Ca2Sn2H

A geometry-optimized Sr2Ca2Sn2H structure (PBE, Alexandria via LeMat-Bulk).

```
7
Lattice="-2.411 2.411 9.046 2.411 -2.411 9.046 2.411 2.411 -9.046" Properties=species:S:1:pos:R:3 pbc="T T T"
Sr 0.000 0.000 3.221
Sr 0.000 0.000 14.871
Ca 2.411 0.000 0.000
Ca 0.000 2.411 0.000
Sn 0.000 0.000 6.725
Sn 0.000 0.000 11.366
H 0.000 0.000 0.000
```

Crystal system = tetragonal
Total energy = -0.1210 hartree per atom



# 4
# Sr2Ca4Sn3H2

A geometry-optimized Sr2Ca4Sn3H2 structure (PBE, Alexandria via LeMat-Bulk).

```
11
Lattice="-2.567 2.567 11.996 2.567 -2.567 11.996 2.567 2.567 -11.996" Properties=species:S:1:pos:R:3 pbc="T T T"
Sr 0.000 0.000 4.766
Sr 0.000 0.000 19.226
Ca 2.567 0.000 1.905
Ca 2.567 0.000 10.091
Ca 0.000 2.567 1.905
Ca 0.000 2.567 10.091
Sn 0.000 0.000 8.142
Sn 0.000 0.000 11.996
Sn 0.000 0.000 15.850
H 0.000 0.000 2.224
H 0.000 0.000 21.769
```

Crystal system = tetragonal
Total energy = -0.1228 hartree per atom



# 5
# CaTaSnH2

A geometry-optimized CaTaSnH2 structure (PBE, Alexandria via LeMat-Bulk).

```
5
Lattice="4.256 0.000 0.000 0.000 4.256 0.000 0.000 0.000 5.675" Properties=species:S:1:pos:R:3 pbc="T T T"
Ca 0.000 0.000 0.000
Ta 2.128 2.128 0.000
Sn 2.128 2.128 2.838
H 0.000 2.128 2.838
H 2.128 0.000 2.838
```

Crystal system = tetragonal
Distance to the lowest polymorph of the same formula = 0 kJ/mol of formula units



# 6
# CaTaSnH2

A geometry-optimized CaTaSnH2 structure (PBE, Alexandria via LeMat-Bulk).

```
5
Lattice="4.159 0.000 0.000 0.000 4.159 0.000 0.000 0.000 6.471" Properties=species:S:1:pos:R:3 pbc="T T T"
Ca 0.000 0.000 0.000
Ta 2.080 2.080 0.000
Sn 0.000 0.000 3.235
H 0.000 2.080 3.235
H 2.080 0.000 3.235
```

Crystal system = tetragonal
Distance to the lowest polymorph of the same formula = 162 kJ/mol of formula units



# 7
# CaTiSn2H

A geometry-optimized CaTiSn2H structure (PBE, Alexandria via LeMat-Bulk).

```
5
Lattice="5.722 0.000 0.000 0.000 5.722 0.000 0.000 0.000 4.888" Properties=species:S:1:pos:R:3 pbc="T T T"
Ca 0.000 0.000 0.000
Ti 0.000 0.000 2.444
Sn 0.000 2.861 0.000
Sn 2.861 0.000 0.000
H 2.861 2.861 2.444
```

Crystal system = tetragonal
Total energy = -0.0986 hartree per atom



# 8
# CaTi2SnH

A geometry-optimized CaTi2SnH structure (PBE, Alexandria via LeMat-Bulk).

```
5
Lattice="5.575 0.000 0.000 0.000 5.575 0.000 0.000 0.000 3.856" Properties=species:S:1:pos:R:3 pbc="T T T"
Ca 0.000 0.000 0.000
Ti 0.000 2.787 1.928
Ti 2.787 0.000 1.928
Sn 2.787 2.787 1.928
H 2.787 2.787 0.000
```

Crystal system = tetragonal
Total energy = -0.1551 hartree per atom



# 9
# Sr6CaH12

A geometry-optimized Sr6CaH12 structure (PBE, Alexandria via LeMat-Bulk).

```
19
Lattice="5.380 3.106 3.343 -5.380 3.106 3.343 0.000 -6.212 3.343" Properties=species:S:1:pos:R:3 pbc="T T T"
Sr -2.882 -2.633 5.120
Sr -3.721 1.179 4.910
Sr 0.839 -3.812 4.910
Sr -0.839 3.812 5.120
Sr 3.721 -1.179 5.120
Sr 2.882 2.633 4.910
Ca 0.000 0.000 5.015
H -1.435 -4.494 4.300
H -4.609 -1.004 5.730
H -2.025 -0.429 4.008
H -3.174 3.490 4.300
H -0.641 -1.968 6.022
H 1.384 -1.539 4.008
H -1.384 1.539 6.022
H 0.641 1.968 4.008
H 3.174 -3.489 5.730
H 2.025 0.429 6.022
H 4.609 1.004 4.300
H 1.435 4.494 5.730
```

Crystal system = trigonal
Total energy = -0.1192 hartree per atom



# 10
# SrCaH

A geometry-optimized SrCaH structure (PBE, Alexandria via LeMat-Bulk).

```
3
Lattice="-1.837 1.837 6.816 1.837 -1.837 6.816 1.837 1.837 -6.816" Properties=species:S:1:pos:R:3 pbc="T T T"
Sr 0.000 0.000 0.000
Ca 0.000 0.000 3.874
H 0.000 0.000 6.327
```

Crystal system = tetragonal
Distance to the lowest polymorph of the same formula = 18 kJ/mol of formula units



# 11
# Sr2CaH

A geometry-optimized Sr2CaH structure (PBE, Alexandria via LeMat-Bulk).

```
4
Lattice="0.000 4.379 4.379 4.379 0.000 4.379 4.379 4.379 0.000" Properties=species:S:1:pos:R:3 pbc="T T T"
Sr 2.189 2.189 2.189
Sr 6.568 6.568 6.568
Ca 0.000 0.000 0.000
H 4.379 4.379 4.379
```

Crystal system = cubic
Distance to the lowest polymorph of the same formula = 237 kJ/mol of formula units



# 12
# Sr3Ca5H12

A geometry-optimized Sr3Ca5H12 structure (PBE, Alexandria via LeMat-Bulk).

```
80
Lattice="-6.992 6.992 6.992 6.992 -6.992 6.992 6.992 6.992 -6.992" Properties=species:S:1:pos:R:3 pbc="T T T"
Sr 3.496 1.748 0.000
Sr 6.992 3.496 -1.748
Sr 1.748 0.000 3.496
Sr 8.740 0.000 3.496
Sr 0.000 3.496 1.748
Sr 3.496 -1.748 6.992
Sr 3.496 8.740 0.000
Sr 6.992 3.496 5.244
Sr -1.748 6.992 3.496
Sr 5.244 6.992 3.496
Sr 0.000 3.496 8.740
Sr 3.496 5.244 6.992
Ca 0.000 0.000 0.000
Ca 3.496 3.496 -3.496
Ca 3.496 -3.496 3.496
Ca 6.992 0.000 0.000
Ca 10.488 1.748 0.000
Ca 6.992 -3.496 5.244
Ca 5.244 6.992 -3.496
Ca 5.244 0.000 3.496
Ca 3.496 5.244 0.000
Ca 6.992 3.496 1.748
Ca -3.496 3.496 3.496
Ca 0.000 6.992 0.000
Ca 0.000 0.000 6.992
Ca 3.496 3.496 3.496
Ca 0.000 3.496 5.244
Ca 3.496 1.748 6.992
Ca 1.748 6.992 3.496
Ca 1.748 0.000 10.488
Ca 0.000 10.488 1.748
Ca -3.496 5.244 6.992
H 2.133 -0.198 0.832
H 8.355 4.328 -3.694
H 9.126 0.198 0.832
H 8.355 -2.664 3.694
H 6.794 -0.832 2.133
H 10.687 -1.363 2.664
H 0.832 2.133 -0.198
H 9.656 3.298 -1.363
H 4.328 3.694 -1.363
H 6.160 2.133 0.198
H -0.198 0.832 2.133
H 3.694 -1.363 4.328
H 6.794 6.160 -2.133
H 3.694 1.363 2.664
H 4.328 -3.694 8.355
H 6.160 -2.133 6.794
H 2.664 3.694 1.363
H 7.824 4.859 0.198
H 3.694 8.355 -2.664
H 6.794 0.832 4.859
H 2.133 6.794 -0.832
H 8.355 2.664 3.298
H 1.363 2.664 3.694
H 2.133 0.198 6.160
H 4.859 6.794 0.832
H 5.630 4.328 3.298
H -1.363 4.328 3.694
H 4.859 0.198 7.824
H 0.198 6.160 2.133
H 3.298 -1.363 9.656
H -0.832 2.133 6.794
H 4.328 3.298 5.630
H 0.832 9.126 0.198
H 2.664 10.687 -1.363
H 3.298 5.630 4.328
H 0.198 0.832 9.126
H 3.298 8.355 2.664
H 7.190 6.160 4.859
H 0.832 4.859 6.794
H 2.664 3.298 8.355
H -2.664 3.694 8.355
H 6.160 4.859 7.190
H -3.694 8.355 4.328
H 0.198 7.824 4.859
H -1.363 9.656 3.298
H -2.133 6.794 6.160
H -1.363 2.664 10.687
H 4.859 7.190 6.160
```

Crystal system = cubic
Total energy = -0.1159 hartree per atom



no.,N(E_F) (states/eV per atom)
1,0.499
2,0.399
3,0.907
4,0.007
5,1.124
6,0.981
7,0.838
8,1.314
9,0.237
10,0.833
11,0.659
12,0.337